# Ba2ZrCo (GGA-PBE, optimized geometry)
# - E_form: 3.8 eV/f.u.
# - Crystal system: tetragonal
# - V: 117 Å³ per cell
data_Ba2ZrCo
_cell_length_a 4.637
_cell_length_b 4.637
_cell_length_c 5.428
_cell_angle_alpha 90.00
_cell_angle_beta 90.00
_cell_angle_gamma 90.00
_symmetry_space_group_name_H-M 'P 4/m m m'
_symmetry_Int_Tables_number 123
_symmetry_space_group_name_Hall '-P 4 2'
loop_
_atom_site_label
_atom_site_fract_x
_atom_site_fract_y
_atom_site_fract_z
Ba1 0.000 0.500 0.000
Zr1 0.000 0.000 0.500
Co1 0.500 0.500 0.500